The following is a DFT calculation (PBE) of an optimized crystal structure of Ac2Cd3Rh2.

a b c (Å): 5.7301 5.7301 7.9557
angles (deg): 110.24 110.24 45.66
Last column: nearest neighbours and their distance in Å.
Atoms (fractional coordinates):
Ac1 0.1410 0.1410 0.2786  4 Rh 3.10-3.26, 3 Cd 3.40-3.47
Ac2 0.8590 0.8590 0.7214  4 Rh 3.10-3.26, 3 Cd 3.40-3.47
Cd1 0.3602 0.3602 0.0567  3 Rh 2.96-3.01, 3 Cd 3.10-3.27
Cd2 0.5000 0.5000 0.5000  4 Rh 2.79
Cd3 0.6398 0.6398 0.9433  3 Rh 2.96-3.01, 3 Cd 3.10-3.27
Rh1 0.1429 0.1429 0.6897  5 Cd 2.79-3.01, 1 Ac 3.10
Rh2 0.8571 0.8571 0.3103  5 Cd 2.79-3.01, 1 Ac 3.10

Results
ΔH_f (0 K): -481 meV per atom
total energy: -4.147 eV/atom
M_tot: 0.0 μB/cell
density of states at the Fermi level: 3.9 states/eV per cell
symmetry: C2/m
energy above the lowest structure with this stoichiometry: 0.000 eV per atom


The following is a DFT calculation (PBE) of an optimized crystal structure of Ac6Cd2Rh.

a b c (Å): 7.5757 8.0421 13.5503
angles (deg): 90.00 122.45 90.00
Last column: nearest neighbours and their distance in Å.
Atoms (fractional coordinates):
Ac1 0.1405 0.0089 0.2490  1 Rh 2.94
Ac2 0.1405 0.4911 0.7490  1 Rh 2.94
Ac3 0.2323 0.6856 0.0455  1 Rh 2.95
Ac4 0.2323 0.8144 0.5455  1 Rh 2.95
Ac5 0.3584 0.1956 0.0450  1 Rh 2.91
Ac6 0.3584 0.3044 0.5450  1 Rh 2.91
Ac7 0.6416 0.6956 0.4550  1 Rh 2.91
Ac8 0.6416 0.8044 0.9550  1 Rh 2.91
Ac9 0.7677 0.1856 0.4545  1 Rh 2.95
Ac10 0.7677 0.3144 0.9545  1 Rh 2.95
Ac11 0.8595 0.5089 0.2510  1 Rh 2.94
Ac12 0.8595 0.9911 0.7510  1 Rh 2.94
Cd1 0.3060 0.0911 0.7571  7 Ac 3.41-3.80
Cd2 0.3060 0.4089 0.2571  7 Ac 3.41-3.80
Cd3 0.6940 0.5911 0.7429  7 Ac 3.41-3.80
Cd4 0.6940 0.9089 0.2429  7 Ac 3.41-3.80
Rh1 0.0000 0.0000 0.0000  6 Ac 2.91-2.95
Rh2 0.0000 0.5000 0.5000  6 Ac 2.91-2.95

Results
ΔH_f (0 K): -259 meV per atom
total energy: -4.018 eV/atom
M_tot: 0.0 μB/cell
density of states at the Fermi level: 19.2 states/eV per cell
symmetry: P2_1/c


The following is a DFT calculation (PBE) of an optimized crystal structure of Ac3CdRh8.

a b c (Å): 9.5531 9.5531 9.5531
angles (deg): 33.36 33.36 33.36
Last column: nearest neighbours and their distance in Å.
Atoms (fractional coordinates):
Ac1 0.0000 0.0000 0.0000  12 Rh 3.10-3.26, 3 Cd 3.30, 1 Ac 3.46
Ac2 0.1281 0.1281 0.1281  12 Rh 3.22-3.29, 4 Ac 3.43-3.46
Ac3 0.5099 0.5099 0.5099  12 Rh 3.16-3.41, 1 Cd 3.33, 3 Ac 3.43
Cd1 0.6328 0.6328 0.6328  12 Rh 3.10-3.25, 4 Ac 3.30-3.33
Rh1 0.0646 0.5651 0.5651  6 Rh 2.72-2.78
Rh2 0.0685 0.0685 0.5677  6 Rh 2.71-2.80
Rh3 0.0685 0.5677 0.0685  6 Rh 2.71-2.80
Rh4 0.3163 0.3163 0.3163  6 Rh 2.71-2.72
Rh5 0.5651 0.0646 0.5651  6 Rh 2.72-2.78
Rh6 0.5651 0.5651 0.0646  6 Rh 2.72-2.78
Rh7 0.5677 0.0685 0.0685  6 Rh 2.71-2.80
Rh8 0.8163 0.8163 0.8163  6 Rh 2.78-2.80

Results
ΔH_f (0 K): -429 meV per atom
total energy: -6.434 eV/atom
M_tot: 0.0 μB/cell
density of states at the Fermi level: 10.1 states/eV per cell
symmetry: R3m


The following is a DFT calculation (PBE) of an optimized crystal structure of Ac5CdRh2.

a b c (Å): 9.5129 9.5129 9.5129
angles (deg): 127.32 127.32 77.72
Last column: nearest neighbours and their distance in Å.
Atoms (fractional coordinates):
Ac1 0.0000 0.0000 0.0000  4 Rh 3.27
Ac2 0.0293 0.5293 0.8230  3 Rh 3.09-3.21
Ac3 0.2063 0.0293 0.5000  3 Rh 3.09-3.21
Ac4 0.2937 0.7937 0.8230  3 Rh 3.09-3.21
Ac5 0.4707 0.2937 0.5000  3 Rh 3.09-3.21
Ac6 0.5000 0.5000 0.0000  4 Rh 3.27
Ac7 0.5293 0.7063 0.5000  3 Rh 3.09-3.21
Ac8 0.7063 0.2063 0.1770  3 Rh 3.09-3.21
Ac9 0.7937 0.9707 0.5000  3 Rh 3.09-3.21
Ac10 0.9707 0.4707 0.1770  3 Rh 3.09-3.21
Cd1 0.2500 0.2500 0.0000  10 Ac 3.62-3.70
Cd2 0.7500 0.7500 0.0000  10 Ac 3.62-3.70
Rh1 0.1384 0.3617 0.5000  8 Ac 3.09-3.27, 1 Rh 3.30
Rh2 0.3617 0.8616 0.2233  8 Ac 3.09-3.27, 1 Rh 3.30
Rh3 0.6384 0.1384 0.7767  8 Ac 3.09-3.27, 1 Rh 3.30
Rh4 0.8616 0.6384 0.5000  8 Ac 3.09-3.27, 1 Rh 3.30

Results
ΔH_f (0 K): -457 meV per atom
total energy: -4.977 eV/atom
M_tot: 0.0 μB/cell
density of states at the Fermi level: 18.5 states/eV per cell
symmetry: I4/mcm


- Which of these has the highest total energy?
  Ac6Cd2Rh